FeNiBiW PBE-GGA optimized geometry; energy relative to the lowest polymorph listed for this composition = 0.111 eV/atom
1.0
-0.9407 -1.2934 4.1749
-2.9524 -3.2808 0.7121
1.3966 -3.9828 1.4746
Fe Ni W Bi
1 1 1 1
Cartesian
-1.8724 -6.4178 4.7712
-1.2483 -4.2785 3.1808
-0.6241 -2.1393 1.5904
0.0000 0.0000 0.0000

NdAgNO PBE-GGA optimized geometry; energy relative to the lowest polymorph listed for this composition = 0.000 eV/atom
1.0
3.9359 0.0000 0.0000
0.0000 3.9359 0.0000
0.0000 0.0000 7.9232
N Nd O Ag
2 2 2 2
Cartesian
1.9680 0.0000 2.6387
0.0000 1.9680 5.2845
1.9680 0.0000 6.7063
0.0000 1.9680 1.2169
0.0000 0.0000 0.0000
1.9680 1.9680 0.0000
0.0000 0.0000 3.9616
1.9680 1.9680 3.9616

DyTcNO PBE-GGA optimized geometry; energy relative to the lowest polymorph listed for this composition = 0.532 eV/atom
1.0
2.5943 -0.4499 -1.9648
3.4104 -0.5175 4.6216
-0.9239 -5.5781 0.0572
Tc N O Dy
2 2 2 2
Cartesian
-0.5621 -4.0716 0.1901
1.5625 -1.7985 2.4750
2.2677 -3.0418 3.6907
0.5103 -3.0980 1.3831
3.4078 -5.8978 3.1034
2.5084 -0.7744 0.7427
1.2387 -1.7738 -0.7050
2.5234 -4.5716 1.6319

ErB2TeO6 PBE-GGA optimized geometry; E = -7.227 eV/atom
1.0
2.4637 1.4224 5.6855
-2.4637 1.4224 5.6855
0.0000 -2.8448 5.6855
O B Er Te
6 2 1 1
Cartesian
-1.0818 -1.4160 7.0280
0.6854 -1.6448 10.0287
1.7672 -0.2288 7.0280
1.0818 1.4160 10.0287
-1.7672 0.2288 10.0287
-0.6854 1.6448 7.0280
0.0000 0.0000 4.3366
0.0000 0.0000 12.7200
0.0000 0.0000 0.0000
0.0000 0.0000 8.5283

MgCdNiBi PBE-GGA optimized geometry; E = -2.893 eV/atom
1.0
0.6687 -1.9047 4.4240
-3.8290 -0.9420 2.8458
-1.2963 -4.6021 0.8871
Mg Bi Cd Ni
1 1 1 1
Cartesian
-1.1141 -1.8622 2.0392
0.0000 0.0000 0.0000
-2.2283 -3.7244 4.0785
-3.3424 -5.5866 6.1177

CsTcAs PBE-GGA optimized geometry; energy relative to the lowest polymorph listed for this composition = 0.000 eV/atom
1.0
0.0000 3.3289 3.3289
3.3289 0.0000 3.3289
3.3289 3.3289 0.0000
Cs As Tc
1 1 1
Cartesian
4.9933 4.9933 4.9933
1.6644 1.6644 1.6644
0.0000 0.0000 0.0000

Number 1: density 13.333 g cm⁻³, V 15.8 Å³/atom. Number 2: density 7.633 g cm⁻³, V 15.3 Å³/atom. Number 3: density 9.006 g cm⁻³, V 13.4 Å³/atom. Number 4: density 5.729 g cm⁻³, V 12.0 Å³/atom. Number 5: density 8.259 g cm⁻³, V 20.3 Å³/atom. Number 6: density 6.883 g cm⁻³, V 24.6 Å³/atom.